Below is an optimized crystal structure of Tl2Ge3Cl8, with properties calculated at the PBE level.

Cell lengths 15.529, 7.996, 6.973 Å; angles 90.00, 108.47, 90.00 degrees
Space group C2/m (No. 12)
Inequivalent atoms, fractional coordinates:
Tl1 0.234 0.000 0.171 (multiplicity 4)
Ge1 0.000 0.239 0.500 (multiplicity 4)
Ge2 0.000 0.500 0.000 (multiplicity 2)
Cl1 0.102 0.267 0.892 (multiplicity 8)
Cl2 0.104 0.000 0.453 (multiplicity 4)
Cl3 0.105 0.500 0.391 (multiplicity 4)

Summary:
Raw formation energy   -0.86 eV/atom
Fermi-level density of states   0.00 states/eV per atom